(1)
Compound: SrCdInNi
Source: Alexandria via LeMat-Bulk
Functional: PBE-GGA
Structure: optimized geometry

The magnetization is 0.00 μB/f.u. The energy above the most stable polymorph in this dataset comes out at 0.07 eV/f.u. The formation energy comes out at -179 meV/atom. The value obtained for the total energy is -2.959 eV/atom.

It has space group R3m (No. 160, hexagonal axes), with a = 4.6200 Å, b = 4.6200 Å, c = 16.9037 Å, α = 90.00°, β = 90.00° and γ = 120.00°. Symmetry generates all atoms from Sr at (0.0000, 0.0000, 0.0000), Cd at (0.0000, 0.0000, 0.5372), In at (0.0000, 0.0000, 0.7982) and Ni at (0.0000, 0.0000, 0.1839).


(2)
Compound: Tb2Sm2AlGa4
Source: Alexandria via LeMat-Bulk
Functional: PBE-GGA
Structure: optimized geometry

The magnetization is 0.00 μB/f.u. The formation energy comes out at -248 meV/atom. The value obtained for the total energy is -4.087 eV/atom.

It has space group I4/mmm (No. 139), with a = 7.037 Å, b = 7.037 Å, c = 8.926 Å, α = 90.00°, β = 90.00° and γ = 90.00°. Symmetry generates all atoms from Tb at (0.000, 0.500, 0.250), Sm at (0.000, 0.000, 0.188), Al at (0.000, 0.000, 0.500) and Ga at (0.248, 0.248, 0.500).


(3)
Compound: CdIn2Pd6
Source: Alexandria via LeMat-Bulk
Functional: PBE-GGA
Structure: optimized geometry

The magnetization is 0.00 μB/f.u. The formation energy comes out at -169 meV/atom. The value obtained for the total energy is -4.341 eV/atom.

It has space group C2/m (No. 12), with a = 13.982 Å, b = 6.198 Å, c = 4.326 Å, α = 90.00°, β = 107.28° and γ = 90.00°. Symmetry generates all atoms from Cd at (0.000, 0.000, 0.000), In at (0.166, 0.500, 0.672), Pd at (0.000, 0.258, 0.500) and Pd at (0.168, 0.246, 0.173).


(4)
Compound: Rb2AgOsI6
Source: Alexandria via LeMat-Bulk
Functional: PBE-GGA
Structure: optimized geometry

The magnetization is 1.01 μB/f.u. The uncorrected formation energy comes out at -0.46 eV per atom. The value obtained for the total energy is -2.993 eV/atom.

It has space group Fm-3m (No. 225), with a = 11.518 Å, b = 11.518 Å, c = 11.518 Å, α = 90.00°, β = 90.00° and γ = 90.00°. Symmetry generates all atoms from Rb at (0.250, 0.250, 0.250), Ag at (0.000, 0.000, 0.000), Os at (0.000, 0.000, 0.500) and I at (0.000, 0.000, 0.263).